Material: Pr3DyHo3Te8
Method: DFT, GGA-PBE
State: relaxed

Structure (POSCAR):
```
Pr3DyHo3Te8
1.0
4.397 2.538 7.270
-4.397 2.538 7.270
0.000 -5.077 7.270
Pr Dy Ho Te
3 1 3 8
Direct
0.000 0.500 0.500
0.500 0.000 0.500
0.500 0.500 0.000
0.500 0.500 0.500
0.000 0.000 0.500
0.000 0.500 0.000
0.500 0.000 0.000
0.238 0.752 0.752
0.245 0.245 0.245
0.248 0.248 0.762
0.248 0.762 0.248
0.752 0.238 0.752
0.752 0.752 0.238
0.755 0.755 0.755
0.762 0.248 0.248
```

The calculation puts the total energy at -78.8 eV per formula unit. The formation energy without anion corrections is -1.4017 eV per atom.

***

Material: PrDyHo2Te6
Method: DFT, GGA-PBE
State: relaxed

Structure (POSCAR):
```
PrDyHo2Te6
1.0
3.884 2.243 7.043
-3.884 2.243 7.043
0.000 -4.485 7.043
Pr Dy Ho Te
1 1 2 6
Direct
0.000 0.000 0.000
0.504 0.504 0.504
0.189 0.189 0.189
0.691 0.691 0.691
0.094 0.419 0.786
0.302 0.914 0.578
0.419 0.786 0.094
0.578 0.302 0.914
0.786 0.094 0.419
0.914 0.578 0.302
```

The calculation puts the total energy at -51.0 eV per formula unit. The formation energy without anion corrections is -1.3604 eV per atom.

***

Material: PrDyHoTh
Method: DFT, GGA-PBE
State: relaxed

Structure (POSCAR):
```
PrDyHoTh
1.0
0.000 4.035 4.035
4.035 0.000 4.035
4.035 4.035 0.000
Pr Dy Ho Th
1 1 1 1
Direct
0.000 0.000 0.000
0.250 0.250 0.250
0.750 0.750 0.750
0.500 0.500 0.500
```

The calculation puts the total energy at -20.8 eV per formula unit. As for the offset from the most stable computed form: 48 kJ/mol of formula units. The formation energy comes out at 13.4 kJ per mole of atoms.

***

Material: PrDyHoTh
Method: DFT, GGA-PBE
State: relaxed

Structure (POSCAR):
```
PrDyHoTh
1.0
1.801 1.040 11.608
-1.801 1.040 11.608
0.000 -2.080 11.608
Pr Dy Ho Th
1 1 1 1
Direct
0.000 0.000 0.000
0.753 0.753 0.753
0.580 0.580 0.580
0.166 0.166 0.166
```

The calculation puts the total energy at -21.3 eV per formula unit. As for the offset from the most stable computed form: 0 kJ/mol of formula units. The formation energy comes out at 1.5 kJ per mole of atoms.

***

Material: PrDy5Ho2Th
Method: DFT, GGA-PBE
State: relaxed

Structure (POSCAR):
```
PrDy5Ho2Th
1.0
2.868 -10.644 0.000
2.868 10.644 0.000
0.000 0.000 9.726
Pr Dy Ho Th
2 10 4 2
Direct
0.096 0.904 0.500
0.904 0.096 0.000
0.029 0.971 0.819
0.107 0.893 0.113
0.194 0.806 0.793
0.233 0.767 0.413
0.486 0.514 0.094
0.514 0.486 0.594
0.767 0.233 0.913
0.806 0.194 0.293
0.893 0.107 0.613
0.971 0.029 0.319
0.366 0.634 0.783
0.388 0.612 0.400
0.612 0.388 0.900
0.634 0.366 0.283
0.309 0.691 0.101
0.691 0.309 0.601
```

The calculation puts the total energy at -42.9 eV per formula unit. The formation energy comes out at 16.0 kJ per mole of atoms.

***

Material: Pr2DyHoTh
Method: DFT, GGA-PBE
State: relaxed

Structure (POSCAR):
```
Pr2DyHoTh
1.0
6.343 0.000 0.000
0.000 8.517 0.000
-1.437 0.000 6.450
Pr Dy Ho Th
4 2 2 2
Direct
0.219 0.174 0.160
0.219 0.826 0.660
0.781 0.174 0.340
0.781 0.826 0.840
0.500 0.165 0.750
0.500 0.835 0.250
0.000 0.412 0.750
0.000 0.588 0.250
0.500 0.500 0.000
0.500 0.500 0.500
```

The calculation puts the total energy at -24.9 eV per formula unit. The formation energy comes out at 23.9 kJ per mole of atoms.

***

Material: PrDy2HoTh
Method: DFT, GGA-PBE
State: relaxed

Structure (POSCAR):
```
PrDy2HoTh
1.0
3.541 0.000 0.000
0.000 5.663 0.000
0.000 0.000 8.702
Pr Dy Ho Th
1 2 1 1
Direct
0.000 0.000 0.000
0.000 0.500 0.322
0.000 0.500 0.678
0.500 0.000 0.500
0.500 0.500 0.000
```

The calculation puts the total energy at -24.4 eV per formula unit. The formation energy comes out at 30.6 kJ per mole of atoms.

***

Material: PrDy3Ho6Th2
Method: DFT, GGA-PBE
State: relaxed

Structure (POSCAR):
```
PrDy3Ho6Th2
1.0
3.089 -5.346 0.000
3.089 5.346 0.000
-2.063 0.000 11.531
Pr Dy Ho Th
1 3 6 2
Direct
0.000 0.000 0.000
0.166 0.834 0.500
0.500 0.500 0.500
0.834 0.166 0.500
0.084 0.422 0.249
0.255 0.255 0.751
0.422 0.084 0.249
0.578 0.916 0.751
0.745 0.745 0.249
0.916 0.578 0.751
0.333 0.667 0.000
0.667 0.333 0.000
```

The calculation puts the total energy at -60.5 eV per formula unit. The formation energy comes out at 3.2 kJ per mole of atoms.